Record 1
Entry from the Alexandria database: BeAu2Br after structural relaxation (PBE).

Cell lengths 5.5153, 9.5797, 4.0012 Å; angles 90.00, 132.88, 90.00 degrees
Space group C2/m (No. 12)
One atom of each set of equivalent atoms:
Be1 0.0000 0.0000 0.0000 (multiplicity 2)
Au1 0.2500 0.2500 0.0000 (multiplicity 4)
Br1 0.0000 0.5000 0.0000 (multiplicity 2)

Properties
ΔE to the lowest computed polymorph = 570 meV per atom
Uncorrected energy = -20.3 eV per cell
Size of the total moment = 0.00 μB/atom
Energy relative to the elements, uncorrected = 0.45 eV/atom



Record 2
Entry from the Alexandria database: Re2SiRhF after structural relaxation (PBE).

Cell lengths 4.7679, 4.7679, 3.7788 Å; angles 90.00, 90.00, 90.00 degrees
Space group P4/mmm (No. 123)
One atom of each set of equivalent atoms:
Re1 0.0000 0.5000 0.0000 (multiplicity 2)
Si1 0.0000 0.0000 0.5000 (multiplicity 1)
Rh1 0.5000 0.5000 0.0000 (multiplicity 1)
F1 0.5000 0.5000 0.5000 (multiplicity 1)

Properties
Uncorrected energy = -32.6 eV per cell
Size of the total moment = 0.00 μB/atom
Energy relative to the elements, uncorrected = 1.38 eV/atom



Record 3
Entry from the Alexandria database: Rb3In2Sn3 after structural relaxation (PBE).

Cell lengths 5.1355, 18.3490, 7.6047 Å; angles 90.00, 109.67, 90.00 degrees
Space group P2_1/m (No. 11)
One atom of each set of equivalent atoms:
Rb1 0.0954 0.2500 0.1938 (multiplicity 2)
Rb2 0.3648 0.5503 0.7326 (multiplicity 4)
In1 0.4179 0.1727 0.8393 (multiplicity 4)
Sn1 0.1100 0.6006 0.2166 (multiplicity 4)
Sn2 0.2093 0.7500 0.4157 (multiplicity 2)

Properties
Calculated formation energy = -1.04 eV/f.u.
Uncorrected energy = -42.9 eV per cell
Size of the total moment = 0.00 μB/atom



Record 4
Entry from the Alexandria database: Zn6Ag12Au after structural relaxation (PBE).

Cell lengths 11.3371, 11.3371, 9.0553 Å; angles 90.00, 90.00, 120.00 degrees
Space group R-3 (No. 148, hexagonal axes)
One atom of each set of equivalent atoms:
Zn1 0.0828 0.9163 0.2542 (multiplicity 18)
Ag1 0.9998 0.2654 0.4999 (multiplicity 18)
Ag2 0.0804 0.5407 0.6160 (multiplicity 18)
Au1 0.0000 0.0000 0.5000 (multiplicity 3)

Properties
ΔE to the lowest computed polymorph = 0 meV per atom
Calculated formation energy = 0.69 eV/f.u.
Uncorrected energy = -133.3 eV per cell
Size of the total moment = 0.00 μB/atom



Copy entry 1 word for word.
Entry from the Alexandria database: BeAu2Br after structural relaxation (PBE).

Cell lengths 5.5153, 9.5797, 4.0012 Å; angles 90.00, 132.88, 90.00 degrees
Space group C2/m (No. 12)
One atom of each set of equivalent atoms:
Be1 0.0000 0.0000 0.0000 (multiplicity 2)
Au1 0.2500 0.2500 0.0000 (multiplicity 4)
Br1 0.0000 0.5000 0.0000 (multiplicity 2)

Properties
ΔE to the lowest computed polymorph = 570 meV per atom
Uncorrected energy = -20.3 eV per cell
Size of the total moment = 0.00 μB/atom
Energy relative to the elements, uncorrected = 0.45 eV/atom



Q: What is the formula in the third record?
A: Rb3In2Sn3



Please write out number 1 again, unchanged.
Entry from the Alexandria database: BeAu2Br after structural relaxation (PBE).

Cell lengths 5.5153, 9.5797, 4.0012 Å; angles 90.00, 132.88, 90.00 degrees
Space group C2/m (No. 12)
One atom of each set of equivalent atoms:
Be1 0.0000 0.0000 0.0000 (multiplicity 2)
Au1 0.2500 0.2500 0.0000 (multiplicity 4)
Br1 0.0000 0.5000 0.0000 (multiplicity 2)

Properties
ΔE to the lowest computed polymorph = 570 meV per atom
Uncorrected energy = -20.3 eV per cell
Size of the total moment = 0.00 μB/atom
Energy relative to the elements, uncorrected = 0.45 eV/atom